[1]
Crystalline LiPa4O10 at its relaxed geometry. Source: Alexandria via LeMat-Bulk, functional PBE.

Summary:
For the uncorrected formation energy, the calculation gives -52.3 eV per formula unit.

Cell lengths 6.5971, 6.5971, 6.5971 Å; angles 99.61, 99.61, 131.78 degrees
Sites, in units of the cell vectors:
Li (0.0000, 0.0000, 0.0000)
Pa (0.2050, 0.3970, 0.6020)
Pa (0.3970, 0.7950, 0.1920)
Pa (0.6030, 0.2050, 0.8080)
Pa (0.7950, 0.6030, 0.3980)
O (0.0501, 0.3610, 0.8927)
O (0.1574, 0.0501, 0.6891)
O (0.2500, 0.7500, 0.5000)
O (0.3610, 0.4683, 0.3109)
O (0.4683, 0.1574, 0.1073)
O (0.5317, 0.8426, 0.8927)
O (0.6390, 0.5317, 0.6891)
O (0.7500, 0.2500, 0.5000)
O (0.8426, 0.9499, 0.3109)
O (0.9499, 0.6390, 0.1073)


[2]
Crystalline Sm2DyHoTl4 at its relaxed geometry. Source: Alexandria via LeMat-Bulk, functional PBE.

Summary:
As for the calculated formation energy: -0.35 eV per atom.

Cell lengths 9.3824, 9.3824, 9.3824 Å; angles 33.51, 33.51, 33.51 degrees
Sites, in units of the cell vectors:
Sm (0.2502, 0.2502, 0.2502)
Sm (0.7498, 0.7498, 0.7498)
Dy (0.5000, 0.5000, 0.5000)
Ho (0.0000, 0.0000, 0.0000)
Tl (0.1249, 0.1249, 0.1249)
Tl (0.3749, 0.3749, 0.3749)
Tl (0.6251, 0.6251, 0.6251)
Tl (0.8751, 0.8751, 0.8751)


no.,raw total energy (eV per atom)
1,-9.45
2,-3.86